[1]
The following is a PBE calculation of a geometry-optimized DyErSiPd structure, from Alexandria.

Cell and atoms, written as CIF:
```
data_DyErSiPd
_chemical_formula_sum 'Dy4 Er4 Si4 Pd4'
_space_group_name_H-M_alt 'F -4 3 m'
_space_group_IT_number 216
_space_group_name_Hall 'F -4 2 3'
_cell_length_a 7.007
_cell_length_b 7.007
_cell_length_c 7.007
_cell_angle_alpha 90.00
_cell_angle_beta 90.00
_cell_angle_gamma 90.00
loop_
_atom_site_label
_atom_site_fract_x
_atom_site_fract_y
_atom_site_fract_z
Dy1 0.000 0.000 0.000
Er1 0.000 0.000 0.500
Si1 0.250 0.250 0.750
Pd1 0.250 0.250 0.250
```

Values from the calculation:
Energy relative to the elements, uncorrected   -0.74 eV per atom
Polymorph energy (0 for the lowest one)   0.44 eV per formula unit
N(E_F)   0.43 states/eV per atom
DFT total energy   -5.6819 eV per atom

[2]
The following is a PBE calculation of a geometry-optimized DyErSnPd structure, from Alexandria.

Cell and atoms, written as CIF:
```
data_DyErSnPd
_chemical_formula_sum 'Dy4 Er4 Sn4 Pd4'
_space_group_name_H-M_alt 'F -4 3 m'
_space_group_IT_number 216
_space_group_name_Hall 'F -4 2 3'
_cell_length_a 7.263
_cell_length_b 7.263
_cell_length_c 7.263
_cell_angle_alpha 90.00
_cell_angle_beta 90.00
_cell_angle_gamma 90.00
loop_
_atom_site_label
_atom_site_fract_x
_atom_site_fract_y
_atom_site_fract_z
Dy1 0.000 0.000 0.000
Er1 0.000 0.000 0.500
Sn1 0.250 0.250 0.250
Pd1 0.250 0.250 0.750
```

Values from the calculation:
N(E_F)   0.54 states/eV per atom
DFT total energy   -5.3351 eV per atom

[3]
The following is a PBE calculation of a geometry-optimized DyErTcPd structure, from Alexandria.

Cell and atoms, written as CIF:
```
data_DyErTcPd
_chemical_formula_sum 'Dy4 Er4 Tc4 Pd4'
_space_group_name_H-M_alt 'F -4 3 m'
_space_group_IT_number 216
_space_group_name_Hall 'F -4 2 3'
_cell_length_a 6.875
_cell_length_b 6.875
_cell_length_c 6.875
_cell_angle_alpha 90.00
_cell_angle_beta 90.00
_cell_angle_gamma 90.00
loop_
_atom_site_label
_atom_site_fract_x
_atom_site_fract_y
_atom_site_fract_z
Dy1 0.000 0.000 0.000
Er1 0.000 0.000 0.500
Tc1 0.250 0.250 0.750
Pd1 0.250 0.250 0.250
```

Values from the calculation:
N(E_F)   0.92 states/eV per atom
DFT total energy   -6.5766 eV per atom

[4]
The following is a PBE calculation of a geometry-optimized DyErTlPd structure, from Alexandria.

Cell and atoms, written as CIF:
```
data_DyErTlPd
_chemical_formula_sum 'Dy4 Er4 Tl4 Pd4'
_space_group_name_H-M_alt 'F -4 3 m'
_space_group_IT_number 216
_space_group_name_Hall 'F -4 2 3'
_cell_length_a 7.288
_cell_length_b 7.288
_cell_length_c 7.288
_cell_angle_alpha 90.00
_cell_angle_beta 90.00
_cell_angle_gamma 90.00
loop_
_atom_site_label
_atom_site_fract_x
_atom_site_fract_y
_atom_site_fract_z
Dy1 0.000 0.000 0.000
Er1 0.000 0.000 0.500
Tl1 0.250 0.250 0.250
Pd1 0.250 0.250 0.750
```

Values from the calculation:
Polymorph energy (0 for the lowest one)   0.29 eV per formula unit
N(E_F)   0.94 states/eV per atom
DFT total energy   -4.7326 eV per atom

[5]
The following is a PBE calculation of a geometry-optimized DyErTlPd structure, from Alexandria.

Cell and atoms, written as CIF:
```
data_DyErTlPd
_chemical_formula_sum 'Dy1 Er1 Tl1 Pd1'
_space_group_name_H-M_alt 'P 4 m m'
_space_group_IT_number 99
_cell_length_a 3.552
_cell_length_b 3.552
_cell_length_c 7.655
_cell_angle_alpha 90.00
_cell_angle_beta 90.00
_cell_angle_gamma 90.00
loop_
_space_group_symop_operation_xyz
'x,y,z'
'-y,x,z'
'-x,-y,z'
'y,-x,z'
'-x,y,z'
'y,x,z'
'x,-y,z'
'-y,-x,z'
loop_
_atom_site_label
_atom_site_fract_x
_atom_site_fract_y
_atom_site_fract_z
Dy1 0.000 0.000 0.000
Er1 0.000 0.000 0.555
Tl1 0.500 0.500 0.280
Pd1 0.500 0.500 0.771
```

Values from the calculation:
Polymorph energy (0 for the lowest one)   0.00 eV per formula unit
N(E_F)   0.74 states/eV per atom
DFT total energy   -4.8050 eV per atom

[6]
The following is a PBE calculation of a geometry-optimized DyErZnPd structure, from Alexandria.

Cell and atoms, written as CIF:
```
data_DyErZnPd
_chemical_formula_sum 'Dy4 Er4 Zn4 Pd4'
_space_group_name_H-M_alt 'F -4 3 m'
_space_group_IT_number 216
_space_group_name_Hall 'F -4 2 3'
_cell_length_a 7.042
_cell_length_b 7.042
_cell_length_c 7.042
_cell_angle_alpha 90.00
_cell_angle_beta 90.00
_cell_angle_gamma 90.00
loop_
_atom_site_label
_atom_site_fract_x
_atom_site_fract_y
_atom_site_fract_z
Dy1 0.000 0.000 0.000
Er1 0.000 0.000 0.500
Zn1 0.250 0.250 0.750
Pd1 0.250 0.250 0.250
```

Values from the calculation:
Polymorph energy (0 for the lowest one)   0.10 eV per formula unit
N(E_F)   0.63 states/eV per atom
DFT total energy   -4.5234 eV per atom

[7]
The following is a PBE calculation of a geometry-optimized DyErZnPd structure, from Alexandria.

Cell and atoms, written as CIF:
```
data_DyErZnPd
_chemical_formula_sum 'Dy1 Er1 Zn1 Pd1'
_space_group_name_H-M_alt 'P 4 m m'
_space_group_IT_number 99
_cell_length_a 3.538
_cell_length_b 3.538
_cell_length_c 6.962
_cell_angle_alpha 90.00
_cell_angle_beta 90.00
_cell_angle_gamma 90.00
loop_
_space_group_symop_operation_xyz
'x,y,z'
'-y,x,z'
'-x,-y,z'
'y,-x,z'
'-x,y,z'
'y,x,z'
'x,-y,z'
'-y,-x,z'
loop_
_atom_site_label
_atom_site_fract_x
_atom_site_fract_y
_atom_site_fract_z
Dy1 0.000 0.000 0.000
Er1 0.000 0.000 0.491
Zn1 0.500 0.500 0.742
Pd1 0.500 0.500 0.251
```

Values from the calculation:
Polymorph energy (0 for the lowest one)   0.00 eV per formula unit
N(E_F)   0.72 states/eV per atom
DFT total energy   -4.5494 eV per atom

[8]
The following is a PBE calculation of a geometry-optimized Pm3Dy7Er structure, from Alexandria.

Cell and atoms, written as CIF:
```
data_Pm3Dy7Er
_chemical_formula_sum 'Pm3 Dy7 Er1'
_space_group_name_H-M_alt 'P 1 2/m 1'
_space_group_IT_number 10
_cell_length_a 6.944
_cell_length_b 5.529
_cell_length_c 9.977
_cell_angle_alpha 90.00
_cell_angle_beta 109.32
_cell_angle_gamma 90.00
loop_
_space_group_symop_operation_xyz
'x,y,z'
'-x,-y,-z'
'-x,y,-z'
'x,-y,z'
loop_
_atom_site_label
_atom_site_fract_x
_atom_site_fract_y
_atom_site_fract_z
Pm1 0.000 0.000 0.000
Pm2 0.280 0.500 0.496
Dy1 0.000 0.000 0.500
Dy2 0.149 0.500 0.789
Dy3 0.321 0.500 0.137
Dy4 0.424 0.000 0.329
Er1 0.500 0.000 0.000
```

Values from the calculation:
Polymorph energy (0 for the lowest one)   0.00 eV per formula unit
N(E_F)   1.49 states/eV per atom
DFT total energy   -4.4962 eV per atom

[9]
The following is a PBE calculation of a geometry-optimized Pm3Dy2Er5 structure, from Alexandria.

Cell and atoms, written as CIF:
```
data_Pm3Dy2Er5
_chemical_formula_sum 'Pm12 Dy8 Er20'
_space_group_name_H-M_alt 'C 1 2/c 1'
_space_group_IT_number 15
_cell_length_a 10.637
_cell_length_b 15.880
_cell_length_c 9.383
_cell_angle_alpha 90.00
_cell_angle_beta 124.46
_cell_angle_gamma 90.00
loop_
_space_group_symop_operation_xyz
'x,y,z'
'-x,-y,-z'
'-x,y,-z+1/2'
'x,-y,z+1/2'
'x+1/2,y+1/2,z'
'-x+1/2,-y+1/2,-z'
'-x+1/2,y+1/2,-z+1/2'
'x+1/2,-y+1/2,z+1/2'
loop_
_atom_site_label
_atom_site_fract_x
_atom_site_fract_y
_atom_site_fract_z
Pm1 0.000 0.234 0.250
Pm2 0.146 0.124 0.047
Dy1 0.151 0.382 0.547
Er1 0.000 0.026 0.250
Er2 0.000 0.272 0.750
Er3 0.000 0.471 0.750
Er4 0.242 0.387 0.234
```

Values from the calculation:
Polymorph energy (0 for the lowest one)   0.00 eV per formula unit
N(E_F)   1.77 states/eV per atom
DFT total energy   -4.4325 eV per atom

[10]
The following is a PBE calculation of a geometry-optimized PmDy2Er12 structure, from Alexandria.

Cell and atoms, written as CIF:
```
data_PmDy2Er12
_chemical_formula_sum 'Pm4 Dy8 Er48'
_space_group_name_H-M_alt 'C 1 2/m 1'
_space_group_IT_number 12
_cell_length_a 7.177
_cell_length_b 11.252
_cell_length_c 23.322
_cell_angle_alpha 90.00
_cell_angle_beta 94.42
_cell_angle_gamma 90.00
loop_
_space_group_symop_operation_xyz
'x,y,z'
'-x,-y,-z'
'-x,y,-z'
'x,-y,z'
'x+1/2,y+1/2,z'
'-x+1/2,-y+1/2,-z'
'-x+1/2,y+1/2,-z'
'x+1/2,-y+1/2,z'
loop_
_atom_site_label
_atom_site_fract_x
_atom_site_fract_y
_atom_site_fract_z
Pm1 0.250 0.000 0.000
Dy1 0.179 0.000 0.714
Dy2 0.179 0.500 0.714
Er1 0.019 0.250 0.068
Er2 0.036 0.000 0.149
Er3 0.036 0.500 0.149
Er4 0.081 0.250 0.323
Er5 0.106 0.000 0.426
Er6 0.108 0.500 0.426
Er7 0.139 0.251 0.557
Er8 0.201 0.250 0.806
```

Values from the calculation:
N(E_F)   1.62 states/eV per atom
DFT total energy   -4.5093 eV per atom

[11]
The following is a PBE calculation of a geometry-optimized Pm2Dy7Er4 structure, from Alexandria.

Cell and atoms, written as CIF:
```
data_Pm2Dy7Er4
_chemical_formula_sum 'Pm2 Dy7 Er4'
_space_group_name_H-M_alt 'P -3 1 m'
_space_group_IT_number 162
_space_group_name_Hall '-P 3 2'
_cell_length_a 6.0553
_cell_length_b 6.0553
_cell_length_c 13.2650
_cell_angle_alpha 90.00
_cell_angle_beta 90.00
_cell_angle_gamma 120.00
loop_
_atom_site_label
_atom_site_fract_x
_atom_site_fract_y
_atom_site_fract_z
Pm1 0.3333 0.6667 0.0000
Dy1 0.0000 0.0000 0.0000
Dy2 0.0000 0.3553 0.2180
Er1 0.0000 0.0000 0.3949
Er2 0.3333 0.6667 0.5000
```

Values from the calculation:
N(E_F)   1.35 states/eV per atom
DFT total energy   -4.4253 eV per atom

[12]
The following is a PBE calculation of a geometry-optimized Pm5DyEr3 structure, from Alexandria.

Cell and atoms, written as CIF:
```
data_Pm5DyEr3
_chemical_formula_sum 'Pm20 Dy4 Er12'
_space_group_name_H-M_alt 'C m c m'
_space_group_IT_number 63
_space_group_name_Hall '-C 2c 2'
_cell_length_a 17.484
_cell_length_b 9.321
_cell_length_c 7.288
_cell_angle_alpha 90.00
_cell_angle_beta 90.00
_cell_angle_gamma 90.00
loop_
_atom_site_label
_atom_site_fract_x
_atom_site_fract_y
_atom_site_fract_z
Pm1 0.000 0.197 0.250
Pm2 0.164 0.176 0.001
Dy1 0.000 0.172 0.750
Er1 0.000 0.500 0.000
Er2 0.178 0.499 0.750
```

Values from the calculation:
Polymorph energy (0 for the lowest one)   0.00 eV per formula unit
N(E_F)   1.29 states/eV per atom
DFT total energy   -4.5397 eV per atom